[1]
TbSmCo2 | PBE | relaxed

Geometry as POSCAR:
```
TbSmCo2
1.0
-0.570 3.314 -0.489
-4.600 -0.931 -0.942
-1.052 0.504 4.642
Co Tb Sm
2 1 1
Cartesian
-0.526 0.252 2.321 Co
-2.300 -0.465 -0.471 Co
-3.111 1.444 1.606 Tb
-0.285 1.657 -0.245 Sm
```

Values from the calculation:
* uncorrected energy: -5.95 eV/atom
* magnetization: 0.80 Bohr magnetons per cell


[2]
PuCrInRh | PBE | relaxed

Geometry as POSCAR:
```
PuCrInRh
1.0
4.706 0.000 0.000
2.353 4.076 0.000
2.353 1.359 3.843
Cr In Rh Pu
1 1 1 1
Cartesian
4.706 2.717 1.921 Cr
2.353 1.359 0.961 In
0.000 0.000 0.000 Rh
7.060 4.076 2.882 Pu
```

Values from the calculation:
* uncorrected energy: -8.66 eV/atom
* magnetization: 2.08 Bohr magnetons per cell


[3]
KSc2Hg | PBE | relaxed

Geometry as POSCAR:
```
KSc2Hg
1.0
-4.080 -4.631 9.980
-3.505 -7.555 8.266
-0.951 -6.052 10.008
Sc K Hg
2 1 1
Cartesian
-7.670 -16.390 25.390 Sc
-0.865 -1.849 2.865 Sc
0.000 0.000 0.000 K
-4.268 -9.119 14.127 Hg
```

Values from the calculation:
* uncorrected energy: -3.30 eV/atom
* magnetization: 1.25 Bohr magnetons per cell


[4]
Ca3Zn2Cd3 | PBE | relaxed

Geometry as POSCAR:
```
Ca3Zn2Cd3
1.0
6.042 0.000 0.000
0.000 8.313 0.000
0.000 0.000 16.444
Ca Zn Cd
12 8 12
Cartesian
0.727 3.859 6.453 Ca
3.748 0.297 9.991 Ca
5.315 4.453 14.675 Ca
2.294 8.015 1.769 Ca
5.315 4.453 9.991 Ca
2.294 8.015 6.453 Ca
0.727 3.859 1.769 Ca
3.748 0.297 14.675 Ca
3.823 2.731 4.111 Ca
0.802 1.425 12.333 Ca
2.219 5.582 12.333 Ca
5.239 6.887 4.111 Ca
5.327 0.927 6.378 Zn
2.306 3.230 10.067 Zn
0.715 7.386 14.600 Zn
3.736 5.083 1.845 Zn
0.715 7.386 10.067 Zn
3.736 5.083 6.378 Zn
5.327 0.927 1.845 Zn
2.306 3.230 14.600 Zn
0.823 1.463 4.111 Cd
3.844 2.693 12.333 Cd
5.219 6.849 12.333 Cd
2.198 5.620 4.111 Cd
3.644 2.643 7.623 Cd
0.623 1.513 8.821 Cd
2.397 5.670 15.845 Cd
5.418 6.799 0.599 Cd
2.397 5.670 8.821 Cd
5.418 6.799 7.623 Cd
3.644 2.643 0.599 Cd
0.623 1.513 15.845 Cd
```

Values from the calculation:
* uncorrected energy: -1.70 eV/atom
* magnetization: 0.00 Bohr magnetons per cell